Density functional theory data (GGA-PBE) for a relaxed Pb2IO6 crystal.

a b c (Å): 6.7094 6.7094 6.7094
angles (deg): 147.01 131.93 59.53
Sites, in units of the cell vectors:
Pb 0.1668 0.1668 0.0000
Pb 0.8332 0.8332 0.0000
I 0.5000 0.5000 0.0000
O 0.0964 0.3398 0.7566
O 0.2668 0.0000 0.2668
O 0.4168 0.6602 0.7566
O 0.5832 0.3398 0.2434
O 0.7332 0.0000 0.7332
O 0.9036 0.6602 0.2434

As for the symmetry: Immm (71). As for the formation energy from raw total energies: -0.424 eV/atom.



Density functional theory data (GGA-PBE) for a relaxed Pb4I3O2 crystal.

a b c (Å): 8.3861 8.3861 9.5655
angles (deg): 112.26 112.26 26.46
Sites, in units of the cell vectors:
Pb 0.0813 0.0813 0.2192
Pb 0.3079 0.3079 0.3894
Pb 0.6921 0.6921 0.6106
Pb 0.9187 0.9187 0.7808
I 0.0000 0.0000 0.5000
I 0.3892 0.3892 0.0521
I 0.6108 0.6108 0.9479
O 0.3218 0.3218 0.6344
O 0.6782 0.6782 0.3656

As for the symmetry: C2/m (12). As for the formation energy from raw total energies: -0.658 eV/atom.



Density functional theory data (GGA-PBE) for a relaxed Pb2IO crystal.

a b c (Å): 8.1008 8.1008 8.1008
angles (deg): 133.37 133.37 68.08
Sites, in units of the cell vectors:
Pb 0.3750 0.2376 0.3626
Pb 0.7624 0.1250 0.1374
Pb 0.8750 0.0124 0.6374
Pb 0.9876 0.6250 0.8626
I 0.2500 0.7500 0.5000
I 0.5000 0.5000 0.0000
O 0.0000 0.0000 0.0000
O 0.7500 0.2500 0.5000

As for the symmetry: I-42d (122). As for the formation energy from raw total energies: -0.479 eV/atom. As for the energy above the most stable polymorph in this dataset: 0.0 meV/atom.



Density functional theory data (GGA-PBE) for a relaxed Pb2IO crystal.

a b c (Å): 5.2776 5.2776 5.2776
angles (deg): 60.00 60.00 60.00
Sites, in units of the cell vectors:
Pb 0.2500 0.2500 0.2500
Pb 0.7500 0.7500 0.7500
I 0.0000 0.0000 0.0000
O 0.5000 0.5000 0.5000

As for the symmetry: Fm-3m (225). As for the formation energy from raw total energies: 0.056 eV/atom. As for the energy above the most stable polymorph in this dataset: 535.2 meV/atom.



Density functional theory data (GGA-PBE) for a relaxed Pb2I2O7 crystal.

a b c (Å): 6.1855 6.1855 4.9741
angles (deg): 91.94 91.94 82.96
Sites, in units of the cell vectors:
Pb 0.2242 0.7758 0.0000
Pb 0.7758 0.2242 0.0000
I 0.2641 0.2641 0.4885
I 0.7359 0.7359 0.5115
O 0.0697 0.3975 0.7383
O 0.0779 0.0779 0.2684
O 0.3975 0.0697 0.7383
O 0.5000 0.5000 0.5000
O 0.6025 0.9303 0.2617
O 0.9221 0.9221 0.7316
O 0.9303 0.6025 0.2617

As for the symmetry: C2/m (12). As for the formation energy from raw total energies: -0.571 eV/atom. As for the energy above the most stable polymorph in this dataset: 60.2 meV/atom.



Density functional theory data (GGA-PBE) for a relaxed Pb3I2O2 crystal.

a b c (Å): 18.3607 6.0116 7.8955
angles (deg): 90.00 90.00 90.00
Sites, in units of the cell vectors:
Pb 0.0277 0.2500 0.1442
Pb 0.1029 0.2500 0.7162
Pb 0.1596 0.7500 0.0217
Pb 0.3404 0.2500 0.5217
Pb 0.3971 0.7500 0.2162
Pb 0.4723 0.7500 0.6442
Pb 0.5277 0.2500 0.3558
Pb 0.6029 0.2500 0.7838
Pb 0.6596 0.7500 0.4783
Pb 0.8404 0.2500 0.9783
Pb 0.8971 0.7500 0.2838
Pb 0.9723 0.7500 0.8558
I 0.0647 0.7500 0.3986
I 0.2431 0.2500 0.1825
I 0.2569 0.7500 0.6825
I 0.4353 0.2500 0.8986
I 0.5647 0.7500 0.1014
I 0.7431 0.2500 0.3175
I 0.7569 0.7500 0.8175
I 0.9353 0.2500 0.6014
O 0.0739 0.0003 0.9203
O 0.0739 0.4997 0.9203
O 0.4261 0.9997 0.4203
O 0.4261 0.5003 0.4203
O 0.5739 0.0003 0.5797
O 0.5739 0.4997 0.5797
O 0.9261 0.9997 0.0797
O 0.9261 0.5003 0.0797

As for the symmetry: Pnma (62). As for the formation energy from raw total energies: -0.970 eV/atom. As for the energy above the most stable polymorph in this dataset: 0.0 meV/atom.



Number 1: V 13.47 Å³ per atom. Number 2: V 30.67 Å³ per atom. Number 3: V 34.50 Å³ per atom. Number 4: V 25.98 Å³ per atom. Number 5: V 17.15 Å³ per atom. Number 6: V 31.12 Å³ per atom.